(1)
VASP calculation (PBE-GGA) on a geometry-optimized Tb6Nd2Y3Zr structure.

The structure in CIF format:
```
data_Tb6Nd2Y3Zr
_space_group_name_H-M_alt 'C 1 2/m 1'
_space_group_IT_number 12
_cell_length_a 6.149
_cell_length_b 10.635
_cell_length_c 11.757
_cell_angle_alpha 90.00
_cell_angle_beta 99.95
_cell_angle_gamma 90.00
loop_
_space_group_symop_operation_xyz
'x,y,z'
'-x,-y,-z'
'-x,y,-z'
'x,-y,z'
'x+1/2,y+1/2,z'
'-x+1/2,-y+1/2,-z'
'-x+1/2,y+1/2,-z'
'x+1/2,-y+1/2,z'
loop_
_atom_site_label
_atom_site_type_symbol
_atom_site_fract_x
_atom_site_fract_y
_atom_site_fract_z
_atom_site_occupancy
Tb1 Tb 0.244 0.000 0.254 1
Tb2 Tb 0.245 0.163 0.747 1
Nd1 Nd 0.000 0.333 0.500 1
Y1 Y 0.000 0.166 0.000 1
Y2 Y 0.000 0.500 0.000 1
Zr1 Zr 0.000 0.000 0.500 1
```

Values from the calculation:
Calculated formation energy ... 62 kJ/mol of formula units
M_tot ... 0.00 μB per cell
Mass density ... 7.02 g cm⁻³


(2)
VASP calculation (PBE-GGA) on a geometry-optimized TbNdZn structure.

The structure in CIF format:
```
data_TbNdZn
_space_group_name_H-M_alt 'I 4 m m'
_space_group_IT_number 107
_space_group_name_Hall 'I 4 -2'
_cell_length_a 3.648
_cell_length_b 3.648
_cell_length_c 12.365
_cell_angle_alpha 90.00
_cell_angle_beta 90.00
_cell_angle_gamma 90.00
loop_
_atom_site_label
_atom_site_type_symbol
_atom_site_fract_x
_atom_site_fract_y
_atom_site_fract_z
_atom_site_occupancy
Tb1 Tb 0.000 0.000 0.000 1
Nd1 Nd 0.000 0.000 0.711 1
Zn1 Zn 0.000 0.000 0.365 1
```

Values from the calculation:
Calculated formation energy ... -59 kJ/mol of formula units
Energy above the lowest structure with this stoichiometry ... 0.0000 eV per atom
M_tot ... 0.03 μB per cell
Mass density ... 7.44 g cm⁻³


Which formula does entry 2 have?
TbNdZn